# Mn2NbPd8, optimized geometry, DFT PBE-GGA
# offset from the most stable computed form = 0.00 eV/f.u.
# DOS(E_F) = 0.54 states/eV per atom
# total moment = 8.265 Bohr magnetons per cell
data_Mn2NbPd8
_chemical_formula_sum 'Mn2 Nb1 Pd8'
_cell_length_a 4.0021
_cell_length_b 6.2720
_cell_length_c 7.3109
_cell_angle_alpha 106.13
_cell_angle_beta 105.89
_cell_angle_gamma 90.00
_space_group_name_H-M_alt 'P 1'
_space_group_IT_number 1
_space_group_name_Hall 'P 1'
loop_
_atom_site_label
_atom_site_fract_x
_atom_site_fract_y
_atom_site_fract_z
Mn1 0.7766 0.3516 0.5533
Mn2 0.2234 0.6484 0.4467
Nb1 0.5000 0.0000 0.0000
Pd1 0.4020 0.5476 0.8041
Pd2 0.6801 0.9157 0.3602
Pd3 0.8599 0.8112 0.7197
Pd4 0.9568 0.2710 0.9135
Pd5 0.1401 0.1888 0.2803
Pd6 0.3199 0.0843 0.6398
Pd7 0.5980 0.4524 0.1959
Pd8 0.0432 0.7290 0.0865